No. 1
Material: Y6C3S
Method: DFT, GGA-PBE
State: relaxed

Summary:
Calculated volume: 21.318 Å³/atom
ΔE_f (raw): -0.62 eV/atom
Total moment: 2.13 μB per cell

Cell and atoms, written as POSCAR:
```
Y6C3S
1.0
10.241 0.000 0.000
0.000 3.630 0.000
-5.052 0.000 11.469
Y C S
12 6 2
Cartesian
-1.124 0.908 2.906
-1.436 2.723 6.620
1.381 2.723 1.110
1.400 2.723 4.516
-1.161 0.908 10.682
3.800 0.908 2.612
1.390 2.723 8.857
6.350 2.723 0.786
3.789 0.908 6.952
3.809 0.908 10.359
6.626 0.908 4.848
6.314 2.723 8.562
-3.103 0.908 7.159
1.335 0.908 2.844
3.855 2.723 0.902
1.335 0.908 10.567
3.854 2.723 8.624
8.292 2.723 4.310
0.947 0.908 6.681
4.243 2.723 4.788
```


No. 2
Material: Zn2Au2S
Method: DFT, GGA-PBE
State: relaxed

Summary:
Calculated volume: 17.670 Å³/atom
ΔE to the lowest computed polymorph: 9 meV per atom
ΔE_f (raw): 0.06 eV/atom
Total moment: 0.00 μB per cell

Cell and atoms, written as POSCAR:
```
Zn2Au2S
1.0
6.768 0.000 0.000
0.000 6.768 0.000
0.000 0.000 3.857
Zn Au S
4 4 2
Cartesian
1.039 2.345 0.000
2.345 5.729 0.000
4.423 1.039 0.000
5.729 4.423 0.000
0.981 4.366 1.929
2.403 0.981 1.929
4.366 5.787 1.929
5.787 2.403 1.929
0.000 0.000 0.000
3.384 3.384 0.000
```


No. 3
Material: YHo4ErSc2
Method: DFT, GGA-PBE
State: relaxed

Summary:
Energy relative to the elements: 0.450 eV per atom
Calculated volume: 30.745 Å³/atom
Total moment: 7.15 μB per cell

Cell and atoms, written as POSCAR:
```
YHo4ErSc2
1.0
-3.318 5.730 6.470
3.318 -5.730 6.470
3.318 5.730 -6.470
Y Ho Er Sc
2 8 2 4
Cartesian
0.000 0.000 0.000
0.000 5.730 0.000
3.318 0.118 3.096
1.710 2.865 0.114
4.925 2.865 0.114
0.000 0.118 3.374
3.318 5.612 3.096
-1.607 2.865 6.356
1.607 2.865 6.356
0.000 5.612 3.374
1.659 2.865 -3.235
1.659 -2.865 3.235
3.318 0.000 0.000
-1.659 2.865 3.235
0.000 0.000 6.470
1.659 2.865 3.235
```


No. 4
Material: Sr2ScSi
Method: DFT, GGA-PBE
State: relaxed

Summary:
Calculated volume: 33.027 Å³/atom
ΔE_f (raw): -0.13 eV/atom
Total moment: 0.94 μB per cell

Cell and atoms, written as POSCAR:
```
Sr2ScSi
1.0
3.786 0.000 0.000
0.000 3.786 0.000
0.000 0.000 9.217
Sr Sc Si
2 1 1
Cartesian
0.000 0.000 0.000
1.893 1.893 3.429
0.000 0.000 6.070
1.893 1.893 6.819
```


No. 5
Material: Cs3CePm2S6
Method: DFT, GGA-PBE
State: relaxed

Summary:
Calculated volume: 31.427 Å³/atom
ΔE_f (raw): -1.80 eV/atom
Total moment: 0.99 μB per cell

Cell and atoms, written as POSCAR:
```
Cs3CePm2S6
1.0
3.671 -6.359 0.000
3.671 6.359 0.000
-2.448 0.000 8.078
Cs Ce Pm S
3 1 2 6
Cartesian
0.000 0.000 0.000
3.671 2.124 0.000
3.671 -2.124 0.000
2.447 0.000 4.039
2.447 4.240 4.039
2.447 -4.240 4.039
1.219 2.128 2.544
-0.010 0.000 5.535
1.219 -2.128 2.544
3.676 2.128 5.534
4.905 0.000 2.543
3.676 -2.128 5.534
```


No. 6
Material: W2SeCl2
Method: DFT, GGA-PBE
State: relaxed

Summary:
Calculated volume: 18.412 Å³/atom
ΔE to the lowest computed polymorph: 180 meV per atom
ΔE_f (raw): 0.94 eV/atom
Total moment: 0.00 μB per cell

Cell and atoms, written as POSCAR:
```
W2SeCl2
1.0
7.974 0.000 0.000
0.000 7.974 0.000
0.000 0.000 2.896
W Se Cl
4 2 4
Cartesian
0.898 3.089 0.000
3.089 7.076 0.000
4.885 0.898 0.000
7.076 4.885 0.000
0.000 0.000 0.000
3.987 3.987 0.000
1.681 5.668 1.448
2.306 1.681 1.448
5.668 6.293 1.448
6.293 2.306 1.448
```


No. 7
Material: Ta2TcMoH
Method: DFT, GGA-PBE
State: relaxed

Summary:
Calculated volume: 13.831 Å³/atom
Total moment: 0.00 μB per cell
Uncorrected energy: -9.796 eV/atom

Cell and atoms, written as POSCAR:
```
Ta2TcMoH
1.0
4.531 0.000 0.000
0.000 4.531 0.000
0.000 0.000 3.368
Ta Tc Mo H
2 1 1 1
Cartesian
0.000 2.266 0.000
2.266 0.000 0.000
0.000 0.000 1.684
2.266 2.266 1.684
2.266 2.266 0.000
```


No. 8
Material: Dy2RuF
Method: DFT, GGA-PBE
State: relaxed

Summary:
Calculated volume: 19.797 Å³/atom
ΔE_f (raw): -1.28 eV/atom
Total moment: 0.00 μB per cell

Cell and atoms, written as POSCAR:
```
Dy2RuF
1.0
3.570 0.000 0.000
-1.785 3.092 0.000
0.000 0.000 21.525
Dy Ru F
6 3 3
Cartesian
0.000 0.000 5.318
0.000 0.000 16.207
0.000 2.061 9.032
0.000 2.061 19.668
1.785 1.031 1.857
1.785 1.031 12.493
0.000 0.000 0.000
0.000 2.061 14.350
1.785 1.031 7.175
0.000 0.000 10.763
0.000 2.061 3.588
1.785 1.031 17.938
```